# CdHgAs3 (PBE, optimized geometry)
# D(E_F): 6.3 states/eV/f.u.
# Offset from the most stable computed form: 0.0 meV per atom
# Calculated volume: 140.8 Å³/cell
# Magnetic moment: 0.00 μB/cell
data_CdHgAs3
_cell_length_a 5.203
_cell_length_b 5.203
_cell_length_c 5.203
_cell_angle_alpha 90.00
_cell_angle_beta 90.00
_cell_angle_gamma 90.00
_space_group_name_H-M_alt 'P m -3 m'
_space_group_IT_number 221
_space_group_name_Hall '-P 4 2 3'
loop_
_atom_site_label
_atom_site_fract_x
_atom_site_fract_y
_atom_site_fract_z
Cd1 0.000 0.000 0.000
Hg1 0.500 0.500 0.500
As1 0.000 0.000 0.500

---

# Be2TcAu (PBE, optimized geometry)
# D(E_F): 0.7 states/eV/f.u.
# Offset from the most stable computed form: 133.1 meV per atom
# Calculated volume: 100.5 Å³/cell
# Magnetic moment: 0.00 μB/cell
data_Be2TcAu
_cell_length_a 3.324
_cell_length_b 4.226
_cell_length_c 7.156
_cell_angle_alpha 90.00
_cell_angle_beta 90.00
_cell_angle_gamma 90.00
_space_group_name_H-M_alt 'C m m m'
_space_group_IT_number 65
_space_group_name_Hall '-C 2 2'
loop_
_atom_site_label
_atom_site_fract_x
_atom_site_fract_y
_atom_site_fract_z
Be1 0.000 0.000 0.239
Tc1 0.000 0.500 0.000
Au1 0.000 0.500 0.500

---

# Tl3RhI (PBE, optimized geometry)
# D(E_F): 3.1 states/eV/f.u.
# Offset from the most stable computed form: 211.8 meV per atom
# E_form (uncorrected): -0.053 eV/atom
# Calculated volume: 605.6 Å³/cell
# Magnetic moment: 0.00 μB/cell
data_Tl3RhI
_cell_length_a 16.032
_cell_length_b 4.219
_cell_length_c 9.194
_cell_angle_alpha 90.00
_cell_angle_beta 103.14
_cell_angle_gamma 90.00
_space_group_name_H-M_alt 'C 1 2/m 1'
_space_group_IT_number 12
loop_
_space_group_symop_operation_xyz
'x,y,z'
'-x,-y,-z'
'-x,y,-z'
'x,-y,z'
'x+1/2,y+1/2,z'
'-x+1/2,-y+1/2,-z'
'-x+1/2,y+1/2,-z'
'x+1/2,-y+1/2,z'
loop_
_atom_site_label
_atom_site_fract_x
_atom_site_fract_y
_atom_site_fract_z
Tl1 0.066 0.000 0.192
Tl2 0.105 0.500 0.898
Tl3 0.242 0.000 0.738
Rh1 0.211 0.000 0.060
I1 0.120 0.500 0.486

---

# CaCdRe2Sb (PBE, optimized geometry)
# D(E_F): 2.0 states/eV/f.u.
# E_form (uncorrected): 1.487 eV/atom
# Calculated volume: 133.1 Å³/cell
# Magnetic moment: 2.86 μB/cell
data_CaCdRe2Sb
_cell_length_a 4.994
_cell_length_b 4.994
_cell_length_c 5.338
_cell_angle_alpha 90.00
_cell_angle_beta 90.00
_cell_angle_gamma 90.00
_space_group_name_H-M_alt 'P 4/m m m'
_space_group_IT_number 123
_space_group_name_Hall '-P 4 2'
loop_
_atom_site_label
_atom_site_fract_x
_atom_site_fract_y
_atom_site_fract_z
Ca1 0.000 0.000 0.000
Cd1 0.500 0.500 0.000
Re1 0.000 0.500 0.500
Sb1 0.500 0.500 0.500

---

# ScCd2Te (PBE, optimized geometry)
# D(E_F): 1.7 states/eV/f.u.
# E_form (uncorrected): -0.311 eV/atom
# Calculated volume: 189.6 Å³/cell
# Magnetic moment: 0.00 μB/cell
data_ScCd2Te
_cell_length_a 4.482
_cell_length_b 4.482
_cell_length_c 9.441
_cell_angle_alpha 90.00
_cell_angle_beta 90.00
_cell_angle_gamma 90.00
_space_group_name_H-M_alt 'I -4 m 2'
_space_group_IT_number 119
_space_group_name_Hall 'I -4 -2'
loop_
_atom_site_label
_atom_site_fract_x
_atom_site_fract_y
_atom_site_fract_z
Sc1 0.000 0.000 0.000
Cd1 0.000 0.000 0.500
Cd2 0.000 0.500 0.250
Te1 0.000 0.500 0.750

---

# FeTeS2N (PBE, optimized geometry)
# D(E_F): 3.5 states/eV/f.u.
# Offset from the most stable computed form: 0.0 meV per atom
# E_form (uncorrected): 0.379 eV/atom
# Calculated volume: 77.6 Å³/cell
# Magnetic moment: 0.00 μB/cell
data_FeTeS2N
_cell_length_a 4.722
_cell_length_b 4.722
_cell_length_c 3.481
_cell_angle_alpha 90.00
_cell_angle_beta 90.00
_cell_angle_gamma 90.00
_space_group_name_H-M_alt 'P 4/m m m'
_space_group_IT_number 123
_space_group_name_Hall '-P 4 2'
loop_
_atom_site_label
_atom_site_fract_x
_atom_site_fract_y
_atom_site_fract_z
Fe1 0.000 0.000 0.000
Te1 0.500 0.500 0.500
S1 0.000 0.500 0.000
N1 0.000 0.000 0.500

---

# Rb2Li2CeI6 (PBE, optimized geometry)
# D(E_F): 11.1 states/eV/f.u.
# E_form (uncorrected): -1.211 eV/atom
# Calculated volume: 1028.4 Å³/cell
# Magnetic moment: 4.01 μB/cell
data_Rb2Li2CeI6
_cell_length_a 14.127
_cell_length_b 8.475
_cell_length_c 9.526
_cell_angle_alpha 90.00
_cell_angle_beta 115.62
_cell_angle_gamma 90.00
_space_group_name_H-M_alt 'C 1 2/m 1'
_space_group_IT_number 12
loop_
_space_group_symop_operation_xyz
'x,y,z'
'-x,-y,-z'
'-x,y,-z'
'x,-y,z'
'x+1/2,y+1/2,z'
'-x+1/2,-y+1/2,-z'
'-x+1/2,y+1/2,-z'
'x+1/2,-y+1/2,z'
loop_
_atom_site_label
_atom_site_fract_x
_atom_site_fract_y
_atom_site_fract_z
Rb1 0.201 0.000 0.170
Li1 0.048 0.500 0.327
Ce1 0.000 0.000 0.500
I1 0.060 0.238 0.800
I2 0.243 0.000 0.578

---

# Ta2OsSe (PBE, optimized geometry)
# D(E_F): 3.9 states/eV/f.u.
# E_form (uncorrected): 0.065 eV/atom
# Calculated volume: 222.6 Å³/cell
# Magnetic moment: 0.00 μB/cell
data_Ta2OsSe
_cell_length_a 3.1431
_cell_length_b 3.1431
_cell_length_c 26.0201
_cell_angle_alpha 90.00
_cell_angle_beta 90.00
_cell_angle_gamma 120.00
_space_group_name_H-M_alt 'R 3 m'
_space_group_IT_number 160
_space_group_name_Hall 'R 3 -2"'
loop_
_atom_site_label
_atom_site_fract_x
_atom_site_fract_y
_atom_site_fract_z
Ta1 0.0000 0.0000 0.0000
Ta2 0.0000 0.0000 0.2435
Os1 0.0000 0.0000 0.5058
Se1 0.0000 0.0000 0.7370

---

# Sr2Cd2Pb (PBE, optimized geometry)
# D(E_F): 3.6 states/eV/f.u.
# Offset from the most stable computed form: 235.7 meV per atom
# Calculated volume: 350.5 Å³/cell
# Magnetic moment: 0.00 μB/cell
data_Sr2Cd2Pb
_cell_length_a 9.302
_cell_length_b 9.302
_cell_length_c 4.051
_cell_angle_alpha 90.00
_cell_angle_beta 90.00
_cell_angle_gamma 90.00
_space_group_name_H-M_alt 'P 4/m b m'
_space_group_IT_number 127
_space_group_name_Hall '-P 4 2ab'
loop_
_atom_site_label
_atom_site_fract_x
_atom_site_fract_y
_atom_site_fract_z
Sr1 0.168 0.332 0.000
Cd1 0.126 0.626 0.500
Pb1 0.000 0.000 0.000

---

# PmGa3Ag3 (PBE, optimized geometry)
# D(E_F): 2.8 states/eV/f.u.
# Offset from the most stable computed form: 33.9 meV per atom
# Calculated volume: 836.8 Å³/cell
# Magnetic moment: 0.00 μB/cell
data_PmGa3Ag3
_cell_length_a 7.4058
_cell_length_b 7.4058
_cell_length_c 17.6166
_cell_angle_alpha 90.00
_cell_angle_beta 90.00
_cell_angle_gamma 120.00
_space_group_name_H-M_alt 'R -3 m'
_space_group_IT_number 166
_space_group_name_Hall '-R 3 2"'
loop_
_atom_site_label
_atom_site_fract_x
_atom_site_fract_y
_atom_site_fract_z
Pm1 0.0000 0.0000 0.1289
Ga1 0.0780 0.5390 0.1049
Ag1 0.0718 0.5359 0.3612

---

# NiBS2Cl (PBE, optimized geometry)
# D(E_F): 5.1 states/eV/f.u.
# Offset from the most stable computed form: 0.0 meV per atom
# E_form (uncorrected): 0.807 eV/atom
# Calculated volume: 89.2 Å³/cell
# Magnetic moment: 1.14 μB/cell
data_NiBS2Cl
_cell_length_a 3.851
_cell_length_b 3.851
_cell_length_c 6.016
_cell_angle_alpha 90.00
_cell_angle_beta 90.00
_cell_angle_gamma 90.00
_space_group_name_H-M_alt 'P 4/m m m'
_space_group_IT_number 123
_space_group_name_Hall '-P 4 2'
loop_
_atom_site_label
_atom_site_fract_x
_atom_site_fract_y
_atom_site_fract_z
Ni1 0.000 0.000 0.000
B1 0.500 0.500 0.500
S1 0.000 0.500 0.500
Cl1 0.500 0.500 0.000

---

# TaFeCu (PBE, optimized geometry)
# D(E_F): 0.7 states/eV/f.u.
# Offset from the most stable computed form: 743.7 meV per atom
# Calculated volume: 195.8 Å³/cell
# Magnetic moment: 0.00 μB/cell
data_TaFeCu
_cell_length_a 5.806
_cell_length_b 5.806
_cell_length_c 5.806
_cell_angle_alpha 90.00
_cell_angle_beta 90.00
_cell_angle_gamma 90.00
_space_group_name_H-M_alt 'F -4 3 m'
_space_group_IT_number 216
_space_group_name_Hall 'F -4 2 3'
loop_
_atom_site_label
_atom_site_fract_x
_atom_site_fract_y
_atom_site_fract_z
Ta1 0.000 0.000 0.000
Fe1 0.250 0.250 0.250
Cu1 0.250 0.250 0.750

---

# CaRh2W (PBE, optimized geometry)
# D(E_F): 4.2 states/eV/f.u.
# Offset from the most stable computed form: 159.8 meV per atom
# Calculated volume: 67.0 Å³/cell
# Magnetic moment: 0.00 μB/cell
data_CaRh2W
_cell_length_a 4.837
_cell_length_b 4.837
_cell_length_c 2.865
_cell_angle_alpha 90.00
_cell_angle_beta 90.00
_cell_angle_gamma 90.00
_space_group_name_H-M_alt 'P 4/m m m'
_space_group_IT_number 123
_space_group_name_Hall '-P 4 2'
loop_
_atom_site_label
_atom_site_fract_x
_atom_site_fract_y
_atom_site_fract_z
Ca1 0.000 0.000 0.000
Rh1 0.000 0.500 0.500
W1 0.500 0.500 0.000

---

# Sr3ReIr (PBE, optimized geometry)
# D(E_F): 3.6 states/eV/f.u.
# Offset from the most stable computed form: 0.0 meV per atom
# Calculated volume: 185.2 Å³/cell
# Magnetic moment: 3.82 μB/cell
data_Sr3ReIr
_cell_length_a 5.700
_cell_length_b 5.700
_cell_length_c 5.700
_cell_angle_alpha 90.00
_cell_angle_beta 90.00
_cell_angle_gamma 90.00
_space_group_name_H-M_alt 'P m -3 m'
_space_group_IT_number 221
_space_group_name_Hall '-P 4 2 3'
loop_
_atom_site_label
_atom_site_fract_x
_atom_site_fract_y
_atom_site_fract_z
Sr1 0.000 0.000 0.500
Re1 0.500 0.500 0.500
Ir1 0.000 0.000 0.000

---

# Rb6Ti2O7 (PBE, optimized geometry)
# D(E_F): 0.0 states/eV/f.u.
# Offset from the most stable computed form: 0.0 meV per atom
# E_form (uncorrected): -2.189 eV/atom
# Calculated volume: 664.1 Å³/cell
# Magnetic moment: 0.01 μB/cell
data_Rb6Ti2O7
_cell_length_a 6.933
_cell_length_b 9.727
_cell_length_c 11.848
_cell_angle_alpha 90.00
_cell_angle_beta 123.77
_cell_angle_gamma 90.00
_space_group_name_H-M_alt 'P 1 21/c 1'
_space_group_IT_number 14
loop_
_space_group_symop_operation_xyz
'x,y,z'
'-x,-y,-z'
'-x,y+1/2,-z+1/2'
'x,-y+1/2,z+1/2'
loop_
_atom_site_label
_atom_site_fract_x
_atom_site_fract_y
_atom_site_fract_z
Rb1 0.047 0.152 0.426
Rb2 0.206 0.527 0.453
Rb3 0.405 0.209 0.279
Ti1 0.317 0.640 0.871
O1 0.054 0.669 0.868
O2 0.246 0.592 0.703
O3 0.498 0.707 0.428
O4 0.500 0.000 0.500

---

# AcNd6Dy12 (PBE, optimized geometry)
# D(E_F): 29.9 states/eV/f.u.
# Total energy: -252.2 eV for the cell shown
# Calculated volume: 1970.5 Å³/cell
# Magnetic moment: 0.00 μB/cell
data_AcNd6Dy12
_cell_length_a 13.4063
_cell_length_b 13.4063
_cell_length_c 12.6597
_cell_angle_alpha 90.00
_cell_angle_beta 90.00
_cell_angle_gamma 120.00
_space_group_name_H-M_alt 'R -3 m'
_space_group_IT_number 166
_space_group_name_Hall '-R 3 2"'
loop_
_atom_site_label
_atom_site_fract_x
_atom_site_fract_y
_atom_site_fract_z
Ac1 0.0000 0.0000 0.0000
Nd1 0.0329 0.5165 0.6187
Dy1 0.0000 0.2579 0.5000
Dy2 0.0921 0.1841 0.2645

---

# Ho2Er2Mg3 (PBE, optimized geometry)
# D(E_F): 10.6 states/eV/f.u.
# Offset from the most stable computed form: 166.2 meV per atom
# Calculated volume: 823.0 Å³/cell
# Magnetic moment: 0.00 μB/cell
data_Ho2Er2Mg3
_cell_length_a 9.371
_cell_length_b 9.371
_cell_length_c 9.371
_cell_angle_alpha 90.00
_cell_angle_beta 90.00
_cell_angle_gamma 90.00
_space_group_name_H-M_alt 'I 21 3'
_space_group_IT_number 199
_space_group_name_Hall 'I 2b 2c 3'
loop_
_atom_site_label
_atom_site_fract_x
_atom_site_fract_y
_atom_site_fract_z
Ho1 0.078 0.422 0.578
Er1 0.173 0.173 0.173
Mg1 0.000 0.250 0.876

---

# Ce3Tm2Ru3 (PBE, optimized geometry)
# D(E_F): 13.2 states/eV/f.u.
# Total energy: -114.2 eV for the cell shown
# Calculated volume: 373.0 Å³/cell
# Magnetic moment: 1.25 μB/cell
data_Ce3Tm2Ru3
_cell_length_a 4.658
_cell_length_b 13.485
_cell_length_c 6.349
_cell_angle_alpha 90.00
_cell_angle_beta 110.70
_cell_angle_gamma 90.00
_space_group_name_H-M_alt 'P 1 21/m 1'
_space_group_IT_number 11
loop_
_space_group_symop_operation_xyz
'x,y,z'
'-x,-y,-z'
'-x,y+1/2,-z'
'x,-y+1/2,z'
loop_
_atom_site_label
_atom_site_fract_x
_atom_site_fract_y
_atom_site_fract_z
Ce1 0.053 0.118 0.111
Ce2 0.356 0.250 0.720
Tm1 0.240 0.591 0.480
Ru1 0.304 0.750 0.806
Ru2 0.391 0.070 0.806

---

# ZrBe2WS (PBE, optimized geometry)
# D(E_F): 5.0 states/eV/f.u.
# E_form (uncorrected): 1.155 eV/atom
# Calculated volume: 95.8 Å³/cell
# Magnetic moment: 0.00 μB/cell
data_ZrBe2WS
_cell_length_a 4.337
_cell_length_b 4.337
_cell_length_c 5.093
_cell_angle_alpha 90.00
_cell_angle_beta 90.00
_cell_angle_gamma 90.00
_space_group_name_H-M_alt 'P 4/m m m'
_space_group_IT_number 123
_space_group_name_Hall '-P 4 2'
loop_
_atom_site_label
_atom_site_fract_x
_atom_site_fract_y
_atom_site_fract_z
Zr1 0.000 0.000 0.000
Be1 0.000 0.500 0.500
W1 0.000 0.000 0.500
S1 0.500 0.500 0.000

---

# TlCdPb (PBE, optimized geometry)
# D(E_F): 1.4 states/eV/f.u.
# Offset from the most stable computed form: 42.5 meV per atom
# Calculated volume: 176.6 Å³/cell
# Magnetic moment: 0.00 μB/cell
data_TlCdPb
_cell_length_a 3.299
_cell_length_b 5.592
_cell_length_c 9.572
_cell_angle_alpha 90.00
_cell_angle_beta 90.00
_cell_angle_gamma 90.00
_space_group_name_H-M_alt 'P m m n'
_space_group_IT_number 59
loop_
_space_group_symop_operation_xyz
'x,y,z'
'-x,-y,-z'
'-x+1/2,-y+1/2,z'
'x+1/2,y+1/2,-z'
'x+1/2,-y,-z'
'-x+1/2,y,z'
'-x,y+1/2,-z'
'x,-y+1/2,z'
loop_
_atom_site_label
_atom_site_fract_x
_atom_site_fract_y
_atom_site_fract_z
Tl1 0.250 0.250 0.070
Cd1 0.250 0.250 0.429
Pb1 0.250 0.750 0.270

---

# HfTa2RhN (PBE, optimized geometry)
# D(E_F): 4.1 states/eV/f.u.
# E_form (uncorrected): -0.709 eV/atom
# Calculated volume: 77.8 Å³/cell
# Magnetic moment: 0.00 μB/cell
data_HfTa2RhN
_cell_length_a 4.182
_cell_length_b 4.182
_cell_length_c 4.450
_cell_angle_alpha 90.00
_cell_angle_beta 90.00
_cell_angle_gamma 90.00
_space_group_name_H-M_alt 'P 4/m m m'
_space_group_IT_number 123
_space_group_name_Hall '-P 4 2'
loop_
_atom_site_label
_atom_site_fract_x
_atom_site_fract_y
_atom_site_fract_z
Hf1 0.000 0.000 0.000
Ta1 0.000 0.500 0.500
Rh1 0.500 0.500 0.000
N1 0.000 0.000 0.500

---

# Al2GaH2 (PBE, optimized geometry)
# D(E_F): 1.4 states/eV/f.u.
# Total energy: -32.5 eV for the cell shown
# Calculated volume: 115.9 Å³/cell
# Magnetic moment: 0.00 μB/cell
data_Al2GaH2
_cell_length_a 3.170
_cell_length_b 3.170
_cell_length_c 11.538
_cell_angle_alpha 90.00
_cell_angle_beta 90.00
_cell_angle_gamma 90.00
_space_group_name_H-M_alt 'I 4/m m m'
_space_group_IT_number 139
_space_group_name_Hall '-I 4 2'
loop_
_atom_site_label
_atom_site_fract_x
_atom_site_fract_y
_atom_site_fract_z
Al1 0.000 0.000 0.148
Ga1 0.000 0.000 0.500
H1 0.000 0.500 0.250

---

# Ho2AlTe (PBE, optimized geometry)
# D(E_F): 1.7 states/eV/f.u.
# Offset from the most stable computed form: 140.9 meV per atom
# E_form (uncorrected): -0.743 eV/atom
# Calculated volume: 332.6 Å³/cell
# Magnetic moment: 0.00 μB/cell
data_Ho2AlTe
_cell_length_a 4.0604
_cell_length_b 4.0604
_cell_length_c 23.2928
_cell_angle_alpha 90.00
_cell_angle_beta 90.00
_cell_angle_gamma 120.00
_space_group_name_H-M_alt 'R -3 m'
_space_group_IT_number 166
_space_group_name_Hall '-R 3 2"'
loop_
_atom_site_label
_atom_site_fract_x
_atom_site_fract_y
_atom_site_fract_z
Ho1 0.0000 0.0000 0.2476
Al1 0.0000 0.0000 0.5000
Te1 0.0000 0.0000 0.0000

---

# Sc2SnP (PBE, optimized geometry)
# D(E_F): 1.6 states/eV/f.u.
# Offset from the most stable computed form: 0.0 meV per atom
# Calculated volume: 260.9 Å³/cell
# Magnetic moment: 0.00 μB/cell
data_Sc2SnP
_cell_length_a 3.6708
_cell_length_b 3.6708
_cell_length_c 22.3587
_cell_angle_alpha 90.00
_cell_angle_beta 90.00
_cell_angle_gamma 120.00
_space_group_name_H-M_alt 'R -3 m'
_space_group_IT_number 166
_space_group_name_Hall '-R 3 2"'
loop_
_atom_site_label
_atom_site_fract_x
_atom_site_fract_y
_atom_site_fract_z
Sc1 0.0000 0.0000 0.2323
Sn1 0.0000 0.0000 0.0000
P1 0.0000 0.0000 0.5000